No. 1
# KAlCr2 | Alexandria via LeMat-Bulk | PBE | optimized geometry
data_KAlCr2
_cell_length_a 6.108
_cell_length_b 6.108
_cell_length_c 6.108
_cell_angle_alpha 151.57
_cell_angle_beta 126.65
_cell_angle_gamma 61.55
_space_group_name_H-M_alt 'P 1'
_space_group_IT_number 1
loop_
_space_group_symop_operation_xyz
'x,y,z'
loop_
_atom_site_label
_atom_site_fract_x
_atom_site_fract_y
_atom_site_fract_z
Cr1 0.985 0.985 0.000
Cr2 0.800 0.300 0.500
K1 0.506 0.506 0.000
Al1 0.209 0.709 0.500
# Space-group type: Imm2, No. 44
# DFT total energy (eV/f.u.): -20.67
# Energy of formation from the pure elements (kJ per mole of atoms): 82.5

No. 2
# KAlCr2 | Alexandria via LeMat-Bulk | PBE | optimized geometry
data_KAlCr2
_cell_length_a 3.198
_cell_length_b 5.187
_cell_length_c 5.187
_cell_angle_alpha 90.00
_cell_angle_beta 90.00
_cell_angle_gamma 90.00
_space_group_name_H-M_alt 'P 1'
_space_group_IT_number 1
loop_
_space_group_symop_operation_xyz
'x,y,z'
loop_
_atom_site_label
_atom_site_fract_x
_atom_site_fract_y
_atom_site_fract_z
Cr1 0.000 0.000 0.000
Cr2 0.000 0.500 0.500
K1 0.500 0.500 0.000
Al1 0.500 0.000 0.500
# Space-group type: P4/mmm, No. 123
# DFT total energy (eV/f.u.): -19.75
# Energy of formation from the pure elements (kJ per mole of atoms): 104.6

What is the energy of formation from the pure elements in the first record?
82.5 kJ per mole of atoms

Which value of energy of formation from the pure elements does entry 2 give?
104.6 kJ per mole of atoms

DFT total energy of number 1 (KAlCr2)?
-20.67 eV/f.u.